1.
# Y4W2Au3C3 PBE-GGA optimized geometry
# Total energy (eV for the cell shown): -376.7
# Magnetization (μB/f.u.): 0.0
data_Y4W2Au3C3
_chemical_formula_sum 'Y16 W8 Au12 C12'
_cell_length_a 10.3554
_cell_length_b 6.0072
_cell_length_c 14.4639
_cell_angle_alpha 90.00
_cell_angle_beta 103.92
_cell_angle_gamma 90.00
_space_group_name_H-M_alt 'C 1 2/c 1'
_space_group_IT_number 15
loop_
_space_group_symop_operation_xyz
'x,y,z'
'-x,-y,-z'
'-x,y,-z+1/2'
'x,-y,z+1/2'
'x+1/2,y+1/2,z'
'-x+1/2,-y+1/2,-z'
'-x+1/2,y+1/2,-z+1/2'
'x+1/2,-y+1/2,z+1/2'
loop_
_atom_site_label
_atom_site_type_symbol
_atom_site_fract_x
_atom_site_fract_y
_atom_site_fract_z
Y1 Y 0.1189 0.0672 0.1062
Y2 Y 0.2066 0.0901 0.3944
W1 W 0.0712 0.4039 0.9372
Au1 Au 0.0000 0.1571 0.7500
Au2 Au 0.1356 0.4448 0.2479
C1 C 0.0721 0.2824 0.4991
C2 C 0.2500 0.2500 0.0000


2.
# NaTbP2S6 PBE-GGA optimized geometry
# Total energy (eV for the cell shown): -101.4
# Magnetization (μB/f.u.): 0.0
data_NaTbP2S6
_chemical_formula_sum 'Na2 Tb2 P4 S12'
_cell_length_a 6.9520
_cell_length_b 7.1711
_cell_length_c 9.1388
_cell_angle_alpha 87.35
_cell_angle_beta 87.64
_cell_angle_gamma 87.85
_space_group_name_H-M_alt 'P -1'
_space_group_IT_number 2
loop_
_space_group_symop_operation_xyz
'x,y,z'
'-x,-y,-z'
loop_
_atom_site_label
_atom_site_type_symbol
_atom_site_fract_x
_atom_site_fract_y
_atom_site_fract_z
Na1 Na 0.0305 0.1003 0.2290
Tb1 Tb 0.4808 0.6189 0.2480
P1 P 0.1479 0.5383 0.5300
P2 P 0.4344 0.8917 0.9355
S1 S 0.1430 0.5314 0.7525
S2 S 0.1993 0.7898 0.4318
S3 S 0.2063 0.8004 0.0621
S4 S 0.3342 0.3356 0.4525
S5 S 0.3564 0.3181 0.0615
S6 S 0.3744 0.0171 0.7395


3.
# TmB4Mo PBE-GGA optimized geometry
# Total energy (eV for the cell shown): -45.4
# Magnetization (μB/f.u.): 0.0
# Energy relative to the lowest polymorph listed for this composition (meV/atom): 0
data_TmB4Mo
_chemical_formula_sum 'Tm1 B4 Mo1'
_cell_length_a 3.1196
_cell_length_b 3.1196
_cell_length_c 7.0273
_cell_angle_alpha 90.00
_cell_angle_beta 90.00
_cell_angle_gamma 120.00
_space_group_name_H-M_alt 'P 6/m m m'
_space_group_IT_number 191
_space_group_name_Hall '-P 6 2'
loop_
_atom_site_label
_atom_site_type_symbol
_atom_site_fract_x
_atom_site_fract_y
_atom_site_fract_z
Tm1 Tm 0.0000 0.0000 0.0000
B1 B 0.3333 0.6667 0.2697
Mo1 Mo 0.0000 0.0000 0.5000


Question: Among the records above, which one has the lowest total energy?
Answer: Y4W2Au3C3


Question: What is the total energy in the third record?
Answer: -45.4 eV for the cell shown